{
  "formula": "Ce3TlHg4",
  "functional": "PBE",
  "state": "relaxed",
  "formation_enthalpy_0k_mev_per_atom": -165,
  "lattice": [[-0.6440, 1.6598, -2.9984], [0.3166, -7.2870, -4.1018], [-7.6305, 1.8370, 4.6836]],
  "species": ["Tl", "Hg", "Hg", "Hg", "Hg", "Ce", "Ce", "Ce"],
  "frac_coords": [[0.5000, 0.0000, 0.0000], [0.3567, 0.5451, 0.7135], [0.6433, 0.4549, 0.2865], [0.6433, 0.8316, 0.2865], [0.3567, 0.1684, 0.7135], [0.1826, 0.1826, 0.3652], [0.8174, 0.8174, 0.6348], [0.0000, 0.5000, 0.0000]]
}